Record 1
An optimized crystal structure of NdDySc2Sb4, computed with GGA-PBE.

- D(E_F) (states/eV/f.u.) = 1.3
- raw formation energy (eV per formula unit) = -8.28

Lattice parameters (Å, degrees): 7.452 4.320 7.478 90.00 109.56 90.00
Element x y z (fractional)
Nd1 0.000 0.000 0.000
Dy1 0.000 0.500 0.500
Sc1 0.500 0.000 0.500
Sc2 0.500 0.500 0.000
Sb1 0.268 0.000 0.752
Sb2 0.271 0.500 0.261
Sb3 0.729 0.500 0.739
Sb4 0.732 0.000 0.248

=====

Record 2
An optimized crystal structure of NdSm2Dy3Sb6, computed with GGA-PBE.

- D(E_F) (states/eV/f.u.) = 1.9
- raw formation energy (eV per formula unit) = -13.86

Lattice parameters (Å, degrees): 9.918 9.918 8.870 102.85 102.85 25.86
Element x y z (fractional)
Nd1 0.000 0.000 0.000
Sm1 0.333 0.333 0.667
Sm2 0.667 0.667 0.333
Dy1 0.000 0.000 0.500
Dy2 0.334 0.334 0.167
Dy3 0.666 0.666 0.833
Sb1 0.165 0.165 0.586
Sb2 0.169 0.169 0.081
Sb3 0.499 0.499 0.256
Sb4 0.501 0.501 0.744
Sb5 0.831 0.831 0.919
Sb6 0.835 0.835 0.414

=====

Record 3
An optimized crystal structure of Nd2SmDy3Sb6, computed with GGA-PBE.

- D(E_F) (states/eV/f.u.) = 1.9
- raw formation energy (eV per formula unit) = -13.88

Lattice parameters (Å, degrees): 9.937 9.937 8.887 102.84 102.84 25.86
Element x y z (fractional)
Nd1 0.166 0.166 0.333
Nd2 0.834 0.834 0.667
Sm1 0.500 0.500 0.000
Dy1 0.167 0.167 0.833
Dy2 0.500 0.500 0.500
Dy3 0.833 0.833 0.167
Sb1 0.002 0.002 0.747
Sb2 0.332 0.332 0.922
Sb3 0.335 0.335 0.412
Sb4 0.665 0.665 0.588
Sb5 0.668 0.668 0.078
Sb6 0.998 0.998 0.253

=====

Record 4
An optimized crystal structure of Nd2SmDySb4, computed with GGA-PBE.

- D(E_F) (states/eV/f.u.) = 1.0
- raw formation energy (eV per formula unit) = -9.35

Lattice parameters (Å, degrees): 7.752 4.480 7.754 90.00 109.48 90.00
Element x y z (fractional)
Nd1 0.000 0.000 0.000
Nd2 0.000 0.500 0.500
Sm1 0.500 0.000 0.500
Dy1 0.500 0.500 0.000
Sb1 0.255 0.500 0.249
Sb2 0.257 0.000 0.755
Sb3 0.743 0.000 0.245
Sb4 0.745 0.500 0.751

=====

Record 5
An optimized crystal structure of Tb2NdDy3Sb6, computed with GGA-PBE.

- D(E_F) (states/eV/f.u.) = 1.9
- raw formation energy (eV per formula unit) = -13.73

Lattice parameters (Å, degrees): 9.867 9.867 8.826 102.87 102.87 25.85
Element x y z (fractional)
Tb1 0.167 0.167 0.333
Tb2 0.833 0.833 0.667
Nd1 0.500 0.500 0.000
Dy1 0.166 0.166 0.832
Dy2 0.500 0.500 0.500
Dy3 0.834 0.834 0.168
Sb1 0.000 0.000 0.256
Sb2 0.000 0.000 0.744
Sb3 0.331 0.331 0.917
Sb4 0.334 0.334 0.417
Sb5 0.666 0.666 0.583
Sb6 0.669 0.669 0.083

=====

Record 6
An optimized crystal structure of TbNdDy2Sb4, computed with GGA-PBE.

- D(E_F) (states/eV/f.u.) = 1.1
- raw formation energy (eV per formula unit) = -9.17

Lattice parameters (Å, degrees): 7.662 4.428 7.664 90.00 109.48 90.00
Element x y z (fractional)
Tb1 0.000 0.000 0.000
Nd1 0.000 0.500 0.500
Dy1 0.500 0.000 0.500
Dy2 0.500 0.500 0.000
Sb1 0.254 0.500 0.248
Sb2 0.256 0.000 0.756
Sb3 0.744 0.000 0.244
Sb4 0.746 0.500 0.752

=====

no.,energy (eV per atom)
1,-5.85
2,-5.55
3,-5.56
4,-5.59
5,-5.53
6,-5.53